Entry 1:
VASP calculation (SCAN) on a PBEsol-optimized structure of Al2ReCl.

Results
Formation energy without anion corrections ... 0.04 eV/atom

Cell: 4.791 4.791 2.731 Å, 90.00 90.00 90.00°
Space group P4/mmm (No. 123)
One atom of each set of equivalent atoms:
Al (0.000, 0.500, 0.000) x2
Re (0.000, 0.000, 0.500) x1
Cl (0.500, 0.500, 0.500) x1



Entry 2:
VASP calculation (SCAN) on a PBEsol-optimized structure of AlReCl2.

Results
Formation energy without anion corrections ... 0.39 eV/atom

Cell: 2.868 5.386 8.999 Å, 90.00 90.00 90.00°
Space group Cmmm (No. 65)
One atom of each set of equivalent atoms:
Al (0.000, 0.000, 0.000) x2
Re (0.000, 0.000, 0.500) x2
Cl (0.000, 0.500, 0.286) x4



Entry 3:
VASP calculation (SCAN) on a PBEsol-optimized structure of AlReCl.

Results
Formation energy without anion corrections ... 1.20 eV/atom

Cell: 6.030 6.030 6.030 Å, 90.00 90.00 90.00°
Space group F-43m (No. 216)
One atom of each set of equivalent atoms:
Al (0.000, 0.000, 0.000) x4
Re (0.250, 0.250, 0.250) x4
Cl (0.000, 0.000, 0.500) x4



Entry 4:
VASP calculation (SCAN) on a PBEsol-optimized structure of AlReCl2.

Results
Formation energy without anion corrections ... 0.95 eV/atom

Cell: 2.966 2.966 8.109 Å, 90.00 90.00 90.00°
Space group P4/mmm (No. 123)
One atom of each set of equivalent atoms:
Al (0.000, 0.000, 0.000) x1
Re (0.000, 0.000, 0.500) x1
Cl (0.500, 0.500, 0.316) x2



Entry 5:
VASP calculation (SCAN) on a PBEsol-optimized structure of Y2AlReCl.

Results
Formation energy without anion corrections ... 0.18 eV/atom

Cell: 5.003 5.003 4.362 Å, 90.00 90.00 90.00°
Space group P4/mmm (No. 123)
One atom of each set of equivalent atoms:
Y (0.000, 0.500, 0.000) x2
Al (0.000, 0.000, 0.500) x1
Re (0.500, 0.500, 0.500) x1
Cl (0.500, 0.500, 0.000) x1



Entry 6:
VASP calculation (SCAN) on a PBEsol-optimized structure of AlRhCl.

Results
Formation energy without anion corrections ... -0.44 eV/atom

Cell: 3.166 5.082 11.902 Å, 90.00 90.00 90.00°
Space group Fmm2 (No. 42)
One atom of each set of equivalent atoms:
Al (0.000, 0.000, 0.000) x4
Rh (0.000, 0.000, 0.642) x4
Cl (0.000, 0.000, 0.347) x4